Here is crystalline TcW2Cl at its relaxed geometry from Alexandria via LeMat-Bulk. Energies are from PBEsol.

Output
The density of states at the Fermi level is 3.742 states/eV/f.u. The uncorrected formation energy comes out at 1.27 eV/atom. As for the energy above the most stable polymorph in this dataset: 0.873 eV/atom. As for the total energy: -35.792 eV/cell. Its magnetization is 0.000 μB per cell.

a = 3.692 Å, b = 3.692 Å, c = 4.506 Å
α = 90.00°, β = 90.00°, γ = 90.00°
Fractional coordinates of all 4 atoms:
Tc 0.000 0.000 0.000
W 0.000 0.500 0.500
W 0.500 0.000 0.500
Cl 0.500 0.500 0.000